## CdSnHPb2 (PBE)

Data for a geometry-optimized CdSnHPb2 structure.

Cell lengths 4.9277, 4.9277, 4.9440 Å; angles 90.00, 90.00, 90.00 degrees
Sites, in units of the cell vectors:
Pb1 0.0000 0.5000 0.0000
Pb2 0.5000 0.0000 0.0000
H1 0.0000 0.0000 0.0000
Sn1 0.5000 0.5000 0.5000
Cd1 0.0000 0.0000 0.5000

Results
Calculated density in g/cm³: 8.9
Total magnetic moment in μB/f.u.: 0.00
E in eV per atom: -2.904



## CdTc2HPb (PBE)

Data for a geometry-optimized CdTc2HPb structure.

Cell lengths 5.4495, 5.7244, 5.4495 Å; angles 90.00, 90.00, 90.00 degrees
Site moments in Bohr magnetons follow the coordinates.
Sites, in units of the cell vectors:
Pb1 0.0000 0.0000 0.0000  -0.07
H1 0.5000 0.5000 0.5000  0.23
Tc1 0.0000 0.0000 0.5000  3.49
Tc2 0.5000 0.0000 0.0000  3.26
Cd1 0.0000 0.5000 0.0000  0.02

Results
Calculated density in g/cm³: 5.0
Total magnetic moment in μB/f.u.: 8.54
E in eV per atom: -3.443



## Tl2CdHPb (PBE)

Data for a geometry-optimized Tl2CdHPb structure.

Cell lengths 5.0529, 5.0529, 4.8149 Å; angles 90.00, 90.00, 90.00 degrees
Sites, in units of the cell vectors:
Pb1 0.0000 0.0000 0.5000
H1 0.0000 0.0000 0.0000
Tl1 0.0000 0.5000 0.0000
Tl2 0.5000 0.0000 0.0000
Cd1 0.5000 0.5000 0.5000

Results
Calculated density in g/cm³: 9.9
Total magnetic moment in μB/f.u.: 0.00
E in eV per atom: -2.314



## TlCdHPb2 (PBE)

Data for a geometry-optimized TlCdHPb2 structure.

Cell lengths 5.0208, 5.0208, 4.8255 Å; angles 90.00, 90.00, 90.00 degrees
Sites, in units of the cell vectors:
Pb1 0.0000 0.5000 0.0000
Pb2 0.5000 0.0000 0.0000
H1 0.0000 0.0000 0.0000
Tl1 0.5000 0.5000 0.5000
Cd1 0.0000 0.0000 0.5000

Results
Calculated density in g/cm³: 10.0
Total magnetic moment in μB/f.u.: 0.00
E in eV per atom: -2.585



## Tl2CdHPb (PBE)

Data for a geometry-optimized Tl2CdHPb structure.

Cell lengths 5.5336, 5.5336, 4.0198 Å; angles 90.00, 90.00, 90.00 degrees
Sites, in units of the cell vectors:
Pb1 0.5000 0.5000 0.5000
H1 0.0000 0.0000 0.0000
Tl1 0.0000 0.5000 0.0000
Tl2 0.5000 0.0000 0.0000
Cd1 0.0000 0.0000 0.5000

Results
Calculated density in g/cm³: 9.8
Total magnetic moment in μB/f.u.: 0.00
E in eV per atom: -2.357



## TlCdHPb2 (PBE)

Data for a geometry-optimized TlCdHPb2 structure.

Cell lengths 4.9027, 4.9027, 5.1280 Å; angles 90.00, 90.00, 90.00 degrees
Sites, in units of the cell vectors:
Pb1 0.0000 0.5000 0.0000
Pb2 0.5000 0.0000 0.0000
H1 0.0000 0.0000 0.0000
Tl1 0.0000 0.0000 0.5000
Cd1 0.5000 0.5000 0.5000

Results
Calculated density in g/cm³: 9.9
Total magnetic moment in μB/f.u.: 0.00
E in eV per atom: -2.588